1.
A geometry-optimized PdS2 structure. Source: the Open Quantum Materials Database, functional PBE.

abc: 4.222 4.222 4.222
angles: 60.00 60.00 60.00
Sites, in units of the cell vectors:
S: 0.250 0.250 0.250
S: 0.750 0.750 0.750
Pd: 0.000 0.000 0.000

Summary:
symmetry	Fm-3m, No. 225
calculated total energy	-4.242	eV/atom

***

2.
A geometry-optimized MgZrH10O5F6 structure. Source: the Open Quantum Materials Database, functional PBE.

abc: 7.297 8.324 8.331
angles: 97.70 115.29 115.23
Sites, in units of the cell vectors:
O: 0.187 0.400 0.980
O: 0.130 0.041 0.780
O: 0.813 0.600 0.020
O: 0.709 0.051 0.796
O: 0.291 0.949 0.204
O: 0.613 0.237 0.985
O: 0.702 0.969 0.446
O: 0.387 0.763 0.015
O: 0.870 0.959 0.220
O: 0.298 0.031 0.554
H: 0.307 0.874 0.110
H: 0.803 0.622 0.905
H: 0.634 0.834 0.436
H: 0.344 0.081 0.202
H: 0.727 0.459 0.989
H: 0.693 0.126 0.890
H: 0.050 0.913 0.788
H: 0.197 0.378 0.095
H: 0.560 0.822 0.061
H: 0.829 0.980 0.318
H: 0.273 0.541 0.011
H: 0.366 0.166 0.564
H: 0.440 0.178 0.939
H: 0.702 0.276 0.126
H: 0.656 0.919 0.798
H: 0.557 0.977 0.373
H: 0.950 0.087 0.212
H: 0.443 0.023 0.627
H: 0.298 0.724 0.874
H: 0.171 0.020 0.682
F: 0.785 0.313 0.626
F: 0.547 0.708 0.764
F: 0.137 0.638 0.647
F: 0.093 0.297 0.236
F: 0.847 0.690 0.374
F: 0.475 0.381 0.569
F: 0.907 0.703 0.764
F: 0.863 0.362 0.353
F: 0.525 0.619 0.431
F: 0.153 0.310 0.626
F: 0.215 0.687 0.374
F: 0.453 0.292 0.236
Zr: 0.746 0.498 0.496
Zr: 0.254 0.502 0.504
Mg: 0.045 0.815 0.274
Mg: 0.955 0.185 0.726

Summary:
symmetry	P-1, No. 2
magnetic moment	0.00	μB per cell
calculated total energy	-5.396	eV/atom

***

3.
A geometry-optimized Tb2PrBi3 structure. Source: the Open Quantum Materials Database, functional PBE.

abc: 4.514 4.514 11.073
angles: 90.00 90.00 120.00
Sites, in units of the cell vectors:
Tb: 0.333 0.667 0.837
Tb: 0.667 0.333 0.163
Bi: 0.000 0.000 0.000
Bi: 0.667 0.333 0.675
Bi: 0.333 0.667 0.325
Pr: 0.000 0.000 0.500

Summary:
symmetry	P-3m1, No. 164
magnetic moment	0.00	μB per cell
calculated total energy	-5.282	eV/atom